No. 1
# Y2Sn2Te (PBE-GGA, relaxed)
# Total energy (eV per atom): -5.61
# ρ (g/cm³): 6.12
# Space group: P4/mbm, No. 127
# Total moment (Bohr magnetons per cell): 0.00
# Energy relative to the elements, uncorrected (meV per atom): -793
# Fermi-level density of states (states/eV/f.u.): 2.21
data_Y2Sn2Te
_symmetry_space_group_name_H-M 'P 1'
_symmetry_Int_Tables_number 1
_cell_length_a 8.136
_cell_length_b 8.136
_cell_length_c 4.447
_cell_angle_alpha 90.00
_cell_angle_beta 90.00
_cell_angle_gamma 90.00
loop_
_symmetry_equiv_pos_as_xyz
'x,y,z'
loop_
_atom_site_label
_atom_site_type_symbol
_atom_site_fract_x
_atom_site_fract_y
_atom_site_fract_z
Y1 Y 0.176 0.324 0.000
Y2 Y 0.324 0.824 0.000
Y3 Y 0.676 0.176 0.000
Y4 Y 0.824 0.676 0.000
Sn1 Sn 0.123 0.623 0.500
Sn2 Sn 0.377 0.123 0.500
Sn3 Sn 0.623 0.877 0.500
Sn4 Sn 0.877 0.377 0.500
Te1 Te 0.000 0.000 0.000
Te2 Te 0.500 0.500 0.000


No. 2
# K2CdAu2 (PBE-GGA, relaxed)
# Energy of formation from the pure elements (eV per atom): -0.196
# Total energy (eV per atom): -2.13
# ρ (g/cm³): 5.66
# Space group: I4/mmm, No. 139
# Total moment (Bohr magnetons per cell): 0.00
# Fermi-level density of states (states/eV/f.u.): 2.09
data_K2CdAu2
_symmetry_space_group_name_H-M 'P 1'
_symmetry_Int_Tables_number 1
_cell_length_a 6.140
_cell_length_b 6.140
_cell_length_c 6.140
_cell_angle_alpha 116.29
_cell_angle_beta 116.29
_cell_angle_gamma 96.55
loop_
_symmetry_equiv_pos_as_xyz
'x,y,z'
loop_
_atom_site_label
_atom_site_type_symbol
_atom_site_fract_x
_atom_site_fract_y
_atom_site_fract_z
K1 K 0.250 0.750 0.500
K2 K 0.750 0.250 0.500
Cd1 Cd 0.000 0.000 0.000
Au1 Au 0.336 0.336 0.000
Au2 Au 0.664 0.664 0.000


No. 3
# Pr3Ni3Ir (PBE-GGA, relaxed)
# Energy of formation from the pure elements (eV per atom): -0.370
# Total energy (eV per atom): -6.16
# ρ (g/cm³): 9.09
# Space group: Cmcm, No. 63
# Total moment (Bohr magnetons per cell): 0.00
# Fermi-level density of states (states/eV/f.u.): 4.82
data_Pr3Ni3Ir
_symmetry_space_group_name_H-M 'P 1'
_symmetry_Int_Tables_number 1
_cell_length_a 5.433
_cell_length_b 5.433
_cell_length_c 13.339
_cell_angle_alpha 90.00
_cell_angle_beta 90.00
_cell_angle_gamma 132.80
loop_
_symmetry_equiv_pos_as_xyz
'x,y,z'
loop_
_atom_site_label
_atom_site_type_symbol
_atom_site_fract_x
_atom_site_fract_y
_atom_site_fract_z
Pr1 Pr 0.021 0.979 0.750
Pr2 Pr 0.271 0.729 0.101
Pr3 Pr 0.271 0.729 0.399
Pr4 Pr 0.729 0.271 0.601
Pr5 Pr 0.729 0.271 0.899
Pr6 Pr 0.979 0.021 0.250
Ni1 Ni 0.319 0.681 0.750
Ni2 Ni 0.440 0.560 0.585
Ni3 Ni 0.440 0.560 0.915
Ni4 Ni 0.560 0.440 0.085
Ni5 Ni 0.560 0.440 0.415
Ni6 Ni 0.681 0.319 0.250
Ir1 Ir 0.000 0.000 0.000
Ir2 Ir 0.000 0.000 0.500